## Rb2GeCl4F2 (PBE)

Data for a relaxed structure of Rb2GeCl4F2.

## Properties
The crystal system is monoclinic. For the calculated density, the calculation gives 3.0 Mg/m³. The value obtained for the total magnetization is 0.00 Bohr magnetons per cell. For the uncorrected formation energy, the calculation gives -1.82 eV per atom.

```
data_Rb2GeCl4F2
_space_group_name_H-M_alt 'C 1 2/m 1'
_space_group_IT_number 12
_space_group_name_Hall '-C 2y'
_cell_length_a 11.559
_cell_length_b 7.107
_cell_length_c 6.651
_cell_angle_alpha 90.00
_cell_angle_beta 121.29
_cell_angle_gamma 90.00
loop_
_atom_site_label
_atom_site_type_symbol
_atom_site_fract_x
_atom_site_fract_y
_atom_site_fract_z
Rb1 Rb 0.239 0.000 0.281
Ge1 Ge 0.000 0.500 0.000
Cl1 Cl 0.031 0.268 0.787
F1 F 0.183 0.500 0.221
```



## CaAc2Pm6 (PBE)

Data for a relaxed structure of CaAc2Pm6.

## Properties
The crystal system is triclinic. Its formation energy is 85 meV/atom. For the calculated density, the calculation gives 6.7 Mg/m³. The value obtained for the total magnetization is 0.00 Bohr magnetons per cell.

```
data_CaAc2Pm6
_space_group_name_H-M_alt 'P -1'
_space_group_IT_number 2
_space_group_name_Hall '-P 1'
_cell_length_a 7.155
_cell_length_b 10.510
_cell_length_c 10.558
_cell_angle_alpha 63.36
_cell_angle_beta 88.48
_cell_angle_gamma 73.17
loop_
_atom_site_label
_atom_site_type_symbol
_atom_site_fract_x
_atom_site_fract_y
_atom_site_fract_z
Ca1 Ca 0.246 0.037 0.445
Ac1 Ac 0.089 0.409 0.755
Ac2 Ac 0.387 0.687 0.145
Pm1 Pm 0.086 0.739 0.427
Pm2 Pm 0.090 0.064 0.098
Pm3 Pm 0.241 0.368 0.112
Pm4 Pm 0.250 0.704 0.784
Pm5 Pm 0.386 0.019 0.817
Pm6 Pm 0.401 0.351 0.479
```



## Rb2CuAgH6 (PBE)

Data for a relaxed structure of Rb2CuAgH6.

## Properties
The crystal system is orthorhombic. For the calculated density, the calculation gives 3.7 Mg/m³. The value obtained for the total magnetization is 0.00 Bohr magnetons per cell. For the total energy, the calculation gives -2.925 eV/atom.

```
data_Rb2CuAgH6
_space_group_name_H-M_alt 'F m m m'
_space_group_IT_number 69
_space_group_name_Hall '-F 2 2'
_cell_length_a 8.509
_cell_length_b 8.517
_cell_length_c 8.736
_cell_angle_alpha 90.00
_cell_angle_beta 90.00
_cell_angle_gamma 90.00
loop_
_atom_site_label
_atom_site_type_symbol
_atom_site_fract_x
_atom_site_fract_y
_atom_site_fract_z
Rb1 Rb 0.250 0.250 0.250
Cu1 Cu 0.000 0.000 0.000
Ag1 Ag 0.000 0.000 0.500
H1 H 0.000 0.000 0.303
H2 H 0.000 0.180 0.000
H3 H 0.180 0.000 0.000
```



## EuI (PBE)

Data for a relaxed structure of EuI.

## Properties
The crystal system is cubic. For the calculated density, the calculation gives 6.6 Mg/m³. The value obtained for the total magnetization is 30.01 Bohr magnetons per cell. For the uncorrected formation energy, the calculation gives -1.03 eV per atom.

```
data_EuI
_space_group_name_H-M_alt 'F m -3 m'
_space_group_IT_number 225
_space_group_name_Hall '-F 4 2 3'
_cell_length_a 6.551
_cell_length_b 6.551
_cell_length_c 6.551
_cell_angle_alpha 90.00
_cell_angle_beta 90.00
_cell_angle_gamma 90.00
loop_
_atom_site_label
_atom_site_type_symbol
_atom_site_fract_x
_atom_site_fract_y
_atom_site_fract_z
Eu1 Eu 0.000 0.000 0.000
I1 I 0.000 0.000 0.500
```



## TaCoSi2Sb (PBE)

Data for a relaxed structure of TaCoSi2Sb.

## Properties
The crystal system is tetragonal. For the calculated density, the calculation gives 6.3 Mg/m³. The value obtained for the total magnetization is 1.25 Bohr magnetons per cell. For the uncorrected formation energy, the calculation gives 1.76 eV per atom.

```
data_TaCoSi2Sb
_space_group_name_H-M_alt 'P 4/m m m'
_space_group_IT_number 123
_space_group_name_Hall '-P 4 2'
_cell_length_a 4.971
_cell_length_b 4.971
_cell_length_c 4.434
_cell_angle_alpha 90.00
_cell_angle_beta 90.00
_cell_angle_gamma 90.00
loop_
_atom_site_label
_atom_site_type_symbol
_atom_site_fract_x
_atom_site_fract_y
_atom_site_fract_z
Ta1 Ta 0.000 0.000 0.000
Co1 Co 0.500 0.500 0.000
Si1 Si 0.000 0.500 0.500
Sb1 Sb 0.500 0.500 0.500
```



## YCuGe2Rh (PBE)

Data for a relaxed structure of YCuGe2Rh.

## Properties
The crystal system is tetragonal. Its formation energy is -650 meV/atom. For the calculated density, the calculation gives 7.6 Mg/m³. The value obtained for the total magnetization is 0.00 Bohr magnetons per cell.

```
data_YCuGe2Rh
_space_group_name_H-M_alt 'I -4 m 2'
_space_group_IT_number 119
_space_group_name_Hall 'I -4 -2'
_cell_length_a 4.137
_cell_length_b 4.137
_cell_length_c 10.288
_cell_angle_alpha 90.00
_cell_angle_beta 90.00
_cell_angle_gamma 90.00
loop_
_atom_site_label
_atom_site_type_symbol
_atom_site_fract_x
_atom_site_fract_y
_atom_site_fract_z
Y1 Y 0.000 0.000 0.000
Cu1 Cu 0.000 0.500 0.750
Ge1 Ge 0.000 0.000 0.379
Rh1 Rh 0.000 0.500 0.250
```



## SrSi12Ni6 (PBE)

Data for a relaxed structure of SrSi12Ni6.

## Properties
The crystal system is trigonal. For the calculated density, the calculation gives 4.5 Mg/m³. The value obtained for the total magnetization is 0.00 Bohr magnetons per cell. For the uncorrected formation energy, the calculation gives -0.17 eV per atom.

```
data_SrSi12Ni6
_space_group_name_H-M_alt 'R -3 m'
_space_group_IT_number 166
_space_group_name_Hall '-R 3 2"'
_cell_length_a 11.2509
_cell_length_b 11.2509
_cell_length_c 7.9022
_cell_angle_alpha 90.00
_cell_angle_beta 90.00
_cell_angle_gamma 120.00
loop_
_atom_site_label
_atom_site_type_symbol
_atom_site_fract_x
_atom_site_fract_y
_atom_site_fract_z
Sr1 Sr 0.0000 0.0000 0.0000
Si1 Si 0.0000 0.3444 0.5000
Si2 Si 0.1025 0.2050 0.3628
Ni1 Ni 0.0789 0.5394 0.3333
```



## AlPbS2 (PBE)

Data for a relaxed structure of AlPbS2.

## Properties
The crystal system is orthorhombic. For the calculated density, the calculation gives 5.3 Mg/m³. The value obtained for the total magnetization is 0.00 Bohr magnetons per cell. For the uncorrected formation energy, the calculation gives -0.40 eV per atom.

```
data_AlPbS2
_space_group_name_H-M_alt 'C m c m'
_space_group_IT_number 63
_space_group_name_Hall '-C 2c 2'
_cell_length_a 3.828
_cell_length_b 20.457
_cell_length_c 4.797
_cell_angle_alpha 90.00
_cell_angle_beta 90.00
_cell_angle_gamma 90.00
loop_
_atom_site_label
_atom_site_type_symbol
_atom_site_fract_x
_atom_site_fract_y
_atom_site_fract_z
Al1 Al 0.000 0.061 0.250
Pb1 Pb 0.000 0.326 0.250
S1 S 0.000 0.056 0.750
S2 S 0.000 0.177 0.250
```



- Look up the calculated density of the seventh one.
  4.5 Mg/m³